The following is a PBE calculation of a geometry-optimized Mg9Sc11Hg4 structure, from Alexandria.

Calculated values
The energy relative to the elements comes out at -0.178 eV/atom. As for the raw total energy: -0.274 Ry per atom.

Lattice parameters (Å, degrees): 14.2815 21.5694 3.5633 90.00 90.00 90.00
Space group Cmmm (No. 65)
Unique sites:
Mg1 0.0000 0.0000 0.0000 [2 per cell]
Mg2 0.1120 0.2421 0.0000 [8 per cell]
Mg3 0.1300 0.4216 0.0000 [8 per cell]
Sc1 0.0000 0.1444 0.5000 [4 per cell]
Sc2 0.0000 0.3367 0.5000 [4 per cell]
Sc3 0.0000 0.5000 0.5000 [2 per cell]
Sc4 0.2277 0.0000 0.5000 [4 per cell]
Sc5 0.2383 0.3264 0.5000 [8 per cell]
Hg1 0.1486 0.0966 0.0000 [8 per cell]